1.
Density functional theory data (GGA-PBE) for crystalline TiNb2Zn2O8 at its relaxed geometry.

```
TiNb2Zn2O8
1.0
9.6892 -2.9538 0.0000
9.6892 2.9538 0.0000
-0.0575 0.0000 5.3089
Ti Nb Zn O
2 4 4 16
direct
0.1319 0.8681 0.7500
0.8681 0.1319 0.2500
0.2437 0.5279 0.2341
0.4721 0.7563 0.2659
0.5279 0.2437 0.7341
0.7563 0.4721 0.7659
0.0698 0.3669 0.2752
0.3669 0.0698 0.7752
0.6331 0.9302 0.2248
0.9302 0.6331 0.7248
0.0415 0.3448 0.6411
0.0721 0.8190 0.0815
0.1810 0.9279 0.4185
0.2194 0.4284 0.9245
0.2936 0.5757 0.5895
0.3448 0.0415 0.1411
0.4243 0.7064 0.9105
0.4284 0.2194 0.4245
0.5716 0.7806 0.5755
0.5757 0.2936 0.0895
0.6552 0.9585 0.8589
0.7064 0.4243 0.4105
0.7806 0.5716 0.0755
0.8190 0.0721 0.5815
0.9279 0.1810 0.9185
0.9585 0.6552 0.3589
```

Calculated values
Energy relative to the elements, uncorrected (eV/f.u.): -28.5
Symmetry: No. 15
M_tot (Bohr magnetons per cell): 4.05



2.
Density functional theory data (GGA-PBE) for crystalline TbTiZnPd at its relaxed geometry.

```
TbTiZnPd
1.0
6.7614 0.0000 0.0000
0.0000 6.7614 0.0000
0.0000 0.0000 6.7614
Tb Ti Zn Pd
4 4 4 4
direct
0.0000 0.0000 0.0000
0.0000 0.5000 0.5000
0.5000 0.0000 0.5000
0.5000 0.5000 0.0000
0.0000 0.0000 0.5000
0.0000 0.5000 0.0000
0.5000 0.0000 0.0000
0.5000 0.5000 0.5000
0.2500 0.2500 0.7500
0.2500 0.7500 0.2500
0.7500 0.2500 0.2500
0.7500 0.7500 0.7500
0.2500 0.2500 0.2500
0.2500 0.7500 0.7500
0.7500 0.2500 0.7500
0.7500 0.7500 0.2500
```

Calculated values
ΔE_f (kJ per mole of atoms): -31.7
Symmetry: No. 216
M_tot (Bohr magnetons per cell): 5.79



3.
Density functional theory data (GGA-PBE) for crystalline MnHPd3 at its relaxed geometry.

```
MnHPd3
1.0
2.7455 0.0000 0.0000
0.0000 5.4071 0.0000
0.0000 0.0000 12.5265
Mn H Pd
2 2 6
direct
0.0000 0.0000 0.0000
0.0000 0.5000 0.5000
0.5000 0.0000 0.6509
0.5000 0.5000 0.1509
0.0000 0.2476 0.1706
0.0000 0.2524 0.6706
0.0000 0.7476 0.6706
0.0000 0.7524 0.1706
0.5000 0.0000 0.8321
0.5000 0.5000 0.3321
```

Calculated values
Offset from the most stable computed form (eV per formula unit): 2.936
Symmetry: No. 38
M_tot (Bohr magnetons per cell): 9.12



4.
Density functional theory data (GGA-PBE) for crystalline SrScAsBr2 at its relaxed geometry.

```
SrScAsBr2
1.0
5.2563 0.0000 0.0000
0.0000 5.2563 0.0000
0.0000 0.0000 5.3632
Sr Sc As Br
1 1 1 2
direct
0.0000 0.0000 0.0000
0.5000 0.5000 0.5000
0.5000 0.5000 0.0000
0.0000 0.5000 0.5000
0.5000 0.0000 0.5000
```

Calculated values
Offset from the most stable computed form (eV per formula unit): 0.000
Energy relative to the elements, uncorrected (eV/f.u.): -6.3
Symmetry: No. 123
M_tot (Bohr magnetons per cell): 0.00



Number 1: calculated volume 151.94 Å³/f.u., DFT total energy -7.595 eV per atom, N(E_F) 9.823 states/eV per cell. Number 2: calculated volume 77.28 Å³/f.u., DFT total energy -5.076 eV per atom, N(E_F) 19.380 states/eV per cell. Number 3: calculated volume 92.98 Å³/f.u., DFT total energy -5.261 eV per atom, N(E_F) 4.909 states/eV per cell. Number 4: calculated volume 148.18 Å³/f.u., DFT total energy -4.468 eV per atom, N(E_F) 0.277 states/eV per cell.